The following is a GGA-PBE calculation of a relaxed Hg3AuI crystal, from Alexandria.

Structure (CIF):
```
data_Hg3AuI
_chemical_formula_sum 'Hg24 Au8 I8'
_cell_length_a 13.601
_cell_length_b 13.156
_cell_length_c 7.357
_cell_angle_alpha 90.00
_cell_angle_beta 104.69
_cell_angle_gamma 90.00
_symmetry_space_group_name_H-M 'C 1 2/c 1'
_symmetry_Int_Tables_number 15
loop_
_symmetry_equiv_pos_as_xyz
'x,y,z'
'-x,-y,-z'
'-x,y,-z+1/2'
'x,-y,z+1/2'
'x+1/2,y+1/2,z'
'-x+1/2,-y+1/2,-z'
'-x+1/2,y+1/2,-z+1/2'
'x+1/2,-y+1/2,z+1/2'
loop_
_atom_site_label
_atom_site_fract_x
_atom_site_fract_y
_atom_site_fract_z
_atom_site_occupancy
Hg1 0.104 0.187 0.457 1
Hg2 0.153 0.332 0.835 1
Hg3 0.154 0.076 0.036 1
Au1 0.000 0.024 0.250 1
Au2 0.000 0.188 0.750 1
I1 0.165 0.383 0.320 1
```

## Properties
For the offset from the most stable computed form, the calculation gives 13 meV/atom. The value obtained for the density of states at the Fermi level is 1.10 states/eV/f.u. For the energy relative to the elements, uncorrected, the calculation gives -35 meV per atom.